AcMgAgSb: relaxed, PBE.

Calculated values
- spin magnetization (μB/f.u.) = 0.0
- raw formation energy (eV/f.u.) = -1.5
- space group = F-43m

Cell: 5.420 5.420 5.420 Å, 60.00 60.00 60.00°
Fractional coordinates of all 4 atoms:
Sb 0.750 0.750 0.750
Ac 0.500 0.500 0.500
Mg 0.000 0.000 0.000
Ag 0.250 0.250 0.250

***

Zr5TlZn: relaxed, PBE.

Calculated values
- formation energy (eV per atom) = 0.169
- spin magnetization (μB/f.u.) = 0.0
- space group = C2/c

Cell: 6.048 6.048 11.554 Å, 67.72 67.72 58.78°
Fractional coordinates of all 14 atoms:
Zr 0.636 0.873 0.215
Zr 0.301 0.322 0.517
Zr 0.873 0.636 0.715
Zr 0.169 0.831 0.250
Zr 0.678 0.699 0.983
Zr 0.322 0.301 0.017
Zr 0.831 0.169 0.750
Zr 0.127 0.364 0.285
Zr 0.699 0.678 0.483
Zr 0.364 0.127 0.785
Tl 0.676 0.324 0.250
Tl 0.324 0.676 0.750
Zn 0.000 0.000 0.000
Zn 0.000 0.000 0.500

***

CaGePdRh: relaxed, PBE.

Calculated values
- formation energy (eV per atom) = -0.442
- spin magnetization (μB/f.u.) = 0.0
- space group = Amm2

Cell: 4.637 3.194 5.160 Å, 108.03 90.00 90.00°
Fractional coordinates of all 4 atoms:
Ca 0.500 0.238 0.476
Ge 0.000 0.597 0.194
Pd 0.500 0.500 0.000
Rh 0.000 0.893 0.786